# 1
# La4TlRh PBE optimized geometry
data_La4TlRh
_chemical_formula_sum 'La16 Tl4 Rh4'
_space_group_name_H-M_alt 'C 1 2/c 1'
_space_group_IT_number 15
_cell_length_a 9.041
_cell_length_b 14.501
_cell_length_c 6.260
_cell_angle_alpha 90.00
_cell_angle_beta 114.41
_cell_angle_gamma 90.00
loop_
_space_group_symop_operation_xyz
'x,y,z'
'-x,-y,-z'
'-x,y,-z+1/2'
'x,-y,z+1/2'
'x+1/2,y+1/2,z'
'-x+1/2,-y+1/2,-z'
'-x+1/2,y+1/2,-z+1/2'
'x+1/2,-y+1/2,z+1/2'
loop_
_atom_site_label
_atom_site_fract_x
_atom_site_fract_y
_atom_site_fract_z
La1 0.115 0.188 0.074
La2 0.230 0.427 0.351
Tl1 0.000 0.383 0.750
Rh1 0.000 0.002 0.250
# Energy above the most stable polymorph in this dataset = 48 meV/atom
# Energy of formation from the pure elements = -2.50 eV per formula unit


# 2
# LiUSO2 PBE optimized geometry
data_LiUSO2
_chemical_formula_sum 'Li2 U2 S2 O4'
_space_group_name_H-M_alt 'P 1 21/m 1'
_space_group_IT_number 11
_cell_length_a 6.288
_cell_length_b 3.435
_cell_length_c 6.887
_cell_angle_alpha 90.00
_cell_angle_beta 97.83
_cell_angle_gamma 90.00
loop_
_space_group_symop_operation_xyz
'x,y,z'
'-x,-y,-z'
'-x,y+1/2,-z'
'x,-y+1/2,z'
loop_
_atom_site_label
_atom_site_fract_x
_atom_site_fract_y
_atom_site_fract_z
Li1 0.148 0.250 0.230
U1 0.355 0.250 0.780
S1 0.281 0.750 0.456
O1 0.158 0.750 0.845
O2 0.423 0.250 0.121
# Raw formation energy = -2.294 eV per atom


So what do the calculations give for magnetic moment? Going down the list: 0.00, 2.00 Bohr magnetons per cell.